# VAgAs2O8

VAgAs2O8 after structural relaxation (GGA+U, Alexandria via LeMat-Bulk).

Properties
size of the total moment = 0.0 μB per cell
total DFT energy (no corrections) = -5.95 eV/atom

Cell: 8.9377 8.9377 8.9377 Å, 30.86 30.86 30.86°
Atoms (fractional coordinates):
V1 0.0000 0.0000 0.0000
Ag1 0.5000 0.5000 0.5000
As1 0.2601 0.2601 0.2601
As2 0.7399 0.7399 0.7399
O1 0.0402 0.3600 0.7453
O2 0.1944 0.1944 0.1944
O3 0.2547 0.6400 0.9598
O4 0.3600 0.7453 0.0402
O5 0.6400 0.9598 0.2547
O6 0.7453 0.0402 0.3600
O7 0.8056 0.8056 0.8056
O8 0.9598 0.2547 0.6400